[1]
Computed, not measured: a relaxed Ga2PbCl8 crystal at the PBE level of DFT.

Structure (POSCAR):
```
Ga2PbCl8
1.0
-4.467 -3.248 3.442
4.843 -5.447 3.334
2.173 2.446 7.317
Ga Pb Cl
2 1 8
Direct
0.663 0.797 0.797
0.337 0.203 0.203
0.000 0.000 0.000
0.245 0.302 0.925
0.755 0.075 0.698
0.314 0.811 0.811
0.686 0.189 0.189
0.245 0.925 0.302
0.755 0.698 0.075
0.797 0.636 0.636
0.203 0.364 0.364
```

- magnetic moment (μB/f.u.) = 0.0
- energy relative to the elements, uncorrected (eV per atom) = -1.145
- calculated total energy (eV/cell) = -37.13

=====

[2]
Computed, not measured: a relaxed GdTh2Au crystal at the PBE level of DFT.

Structure (POSCAR):
```
GdTh2Au
1.0
3.667 0.000 0.000
0.000 3.667 0.000
0.000 0.000 8.744
Gd Au Th
1 1 2
Direct
0.500 0.500 0.500
0.500 0.500 0.000
0.000 0.000 0.783
0.000 0.000 0.217
```

- magnetic moment (μB/f.u.) = 7.2
- formation energy (eV/f.u.) = -0.91
- calculated total energy (eV/cell) = -33.11

=====

[3]
Computed, not measured: a relaxed SrSm2Hg3 crystal at the PBE level of DFT.

Structure (POSCAR):
```
SrSm2Hg3
1.0
3.837 0.000 0.000
0.000 3.837 0.000
0.000 0.000 11.730
Sr Sm Hg
1 2 3
Direct
0.500 0.500 0.500
0.500 0.500 0.840
0.500 0.500 0.160
0.000 0.000 0.000
0.000 0.000 0.686
0.000 0.000 0.314
```

- magnetic moment (μB/f.u.) = 0.2
- formation energy (eV/f.u.) = -2.98
- calculated total energy (eV/cell) = -15.00

=====

[4]
Computed, not measured: a relaxed KBI2O crystal at the PBE level of DFT.

Structure (POSCAR):
```
KBI2O
1.0
-6.196 -0.965 1.761
1.942 -1.427 6.051
-0.395 4.862 1.273
I K B O
2 1 1 1
Direct
0.000 0.500 0.000
0.500 0.000 0.000
0.000 0.000 0.000
0.500 0.500 0.500
0.000 0.000 0.500
```

- magnetic moment (μB/f.u.) = 2.0
- energy relative to the elements, uncorrected (eV per atom) = 1.104
- calculated total energy (eV/cell) = -10.32

=====

[5]
Computed, not measured: a relaxed Zr4Ir2N crystal at the PBE level of DFT.

Structure (POSCAR):
```
Zr4Ir2N
1.0
3.404 0.000 0.000
0.000 5.556 0.613
-1.702 -2.013 6.587
Zr Ir N
4 2 1
Direct
0.854 0.149 0.709
0.146 0.851 0.291
0.564 0.268 0.127
0.436 0.732 0.873
0.771 0.677 0.543
0.229 0.323 0.457
0.000 0.000 0.000
```

- magnetic moment (μB/f.u.) = 0.0
- energy relative to the elements, uncorrected (eV per atom) = -0.816
- calculated total energy (eV/cell) = -65.95

=====

[6]
Computed, not measured: a relaxed PrNdTmMg crystal at the PBE level of DFT.

Structure (POSCAR):
```
PrNdTmMg
1.0
3.732 0.000 0.000
0.000 3.732 0.000
0.000 0.000 9.012
Pr Nd Tm Mg
1 1 1 1
Direct
0.000 0.000 0.840
0.000 0.000 0.374
0.500 0.500 0.109
0.500 0.500 0.605
```

- magnetic moment (μB/f.u.) = 0.0
- formation energy (eV/f.u.) = -0.11
- calculated total energy (eV/cell) = -15.72

=====

[7]
Computed, not measured: a relaxed CaTl3Ag crystal at the PBE level of DFT.

Structure (POSCAR):
```
CaTl3Ag
1.0
-0.902 1.905 -5.551
-2.680 -5.130 -1.325
-5.222 2.304 1.639
Tl Ca Ag
3 1 1
Direct
0.000 0.500 0.000
0.000 0.000 0.500
0.500 0.000 0.000
0.000 0.000 0.000
0.500 0.500 0.500
```

- magnetic moment (μB/f.u.) = 0.0
- formation energy (eV/f.u.) = 3.16
- calculated total energy (eV/cell) = -8.79

=====

[8]
Computed, not measured: a relaxed HoErSn crystal at the PBE level of DFT.

Structure (POSCAR):
```
HoErSn
1.0
3.775 0.000 0.000
0.000 5.098 0.000
0.000 -2.549 4.415
Ho Sn Er
1 1 1
Direct
0.946 0.000 0.000
0.659 0.667 0.333
0.394 0.333 0.667
```

- magnetic moment (μB/f.u.) = 0.0
- formation energy (eV/f.u.) = -1.02
- calculated total energy (eV/cell) = -14.16